Pm4GeBr: relaxed, PBE-GGA.

The structure in POSCAR format:
```
Pm4GeBr
1.0
4.000 -8.095 0.000
4.000 8.095 0.000
-3.958 0.000 5.912
Pm Ge Br
8 2 2
Direct
0.040 0.438 0.745
0.165 0.306 0.241
0.306 0.165 0.741
0.438 0.040 0.245
0.562 0.960 0.755
0.694 0.835 0.259
0.835 0.694 0.759
0.960 0.562 0.255
0.064 0.936 0.250
0.936 0.064 0.750
0.438 0.562 0.750
0.562 0.438 0.250
```

## Properties
For the spin magnetization, the calculation gives 0.000 μB/f.u. For the formation energy from raw total energies, the calculation gives -601 meV per atom.